Entry 1:
KNa2SnAu | PBE-GGA | optimized geometry

a b c (Å): 5.9249 5.9249 5.2747
angles (deg): 90.00 90.00 90.00
Closest atoms and distances in Å follow each position.
Element x y z (fractional)
K1 0.0000 0.0000 0.0000  8 Na 3.97, 4 Au 4.19
Na1 0.0000 0.5000 0.5000  2 Sn 2.96
Na2 0.5000 0.0000 0.5000  2 Sn 2.96
Sn1 0.5000 0.5000 0.5000  2 Au 2.64
Au1 0.5000 0.5000 0.0000  2 Sn 2.64

Values from the calculation:
symmetry	P4/mmm, No. 123
polymorph energy (0 for the lowest one)	86	meV per atom

---

Entry 2:
K2NaSn3Au4 | PBE-GGA | optimized geometry

a b c (Å): 4.9820 4.9820 10.8845
angles (deg): 90.00 90.00 90.00
Closest atoms and distances in Å follow each position.
Element x y z (fractional)
K1 0.0000 0.5000 0.2422  8 Au 3.63-3.79, 7 Sn 3.75-3.93, 2 Na 3.75
K2 0.5000 0.0000 0.7578  8 Au 3.63-3.79, 7 Sn 3.75-3.93, 2 Na 3.75
Na1 0.0000 0.0000 0.5000  4 Au 2.86
Sn1 0.0000 0.5000 0.8813  5 Au 2.75-2.81
Sn2 0.5000 0.0000 0.1187  5 Au 2.75-2.81
Sn3 0.5000 0.5000 0.5000  4 Au 2.86
Au1 0.0000 0.0000 0.0000  4 Sn 2.81
Au2 0.0000 0.5000 0.6289  3 Sn 2.75-2.86, 2 Na 2.86
Au3 0.5000 0.0000 0.3711  3 Sn 2.75-2.86, 2 Na 2.86
Au4 0.5000 0.5000 0.0000  4 Sn 2.81

Values from the calculation:
symmetry	P-4m2, No. 115

---

Entry 3:
K2Na6SnAu | PBE-GGA | optimized geometry

a b c (Å): 8.3902 8.3902 8.3902
angles (deg): 60.00 60.00 60.00
Closest atoms and distances in Å follow each position.
Element x y z (fractional)
K1 0.2500 0.2500 0.2500  12 Na 4.20
K2 0.7500 0.7500 0.7500  12 Na 4.20
Na1 0.2431 0.2431 0.7569  1 Au 2.88, 1 Sn 3.05
Na2 0.2431 0.7569 0.2431  1 Au 2.88, 1 Sn 3.05
Na3 0.2431 0.7569 0.7569  1 Au 2.88, 1 Sn 3.05
Na4 0.7569 0.2431 0.2431  1 Au 2.88, 1 Sn 3.05
Na5 0.7569 0.2431 0.7569  1 Au 2.88, 1 Sn 3.05
Na6 0.7569 0.7569 0.2431  1 Au 2.88, 1 Sn 3.05
Sn1 0.5000 0.5000 0.5000  6 Na 3.05
Au1 0.0000 0.0000 0.0000  6 Na 2.88

Values from the calculation:
symmetry	Fm-3m, No. 225

---

no.,M_tot (μB per cell),DOS at the Fermi energy (states/eV/f.u.),ΔH_f (0 K) (eV/atom)
1,0.00,1.67,-0.10
2,0.00,4.96,-0.33
3,0.00,7.09,-0.07